Compound: MnAl2Fe2
Source: the Alexandria database
Functional: GGA-PBE
Structure: optimized geometry

Cell lengths 6.6417, 6.6417, 2.7418 Å; angles 90.00, 90.00, 90.00 degrees
Sites, in units of the cell vectors:
Mn1 0.0000 0.0000 0.0000
Mn2 0.5000 0.5000 0.0000
Al1 0.1360 0.3640 0.0000
Al2 0.3640 0.8640 0.0000
Al3 0.6360 0.1360 0.0000
Al4 0.8640 0.6360 0.0000
Fe1 0.1641 0.6641 0.5000
Fe2 0.3359 0.1641 0.5000
Fe3 0.6641 0.8359 0.5000
Fe4 0.8359 0.3359 0.5000

VASP energy	-6.58	eV per atom
SG	P4/mbm, No. 127
Fermi-level density of states	1.8237	states/eV per atom
crystal system	tetragonal
spin magnetization	0.000	μB/atom
ΔH_f (0 K)	0.14	eV per atom

---

Compound: BaHgAu2Cl
Source: the Alexandria database
Functional: GGA-PBE
Structure: optimized geometry

Cell lengths 5.1441, 5.1441, 5.9459 Å; angles 90.00, 90.00, 90.00 degrees
Sites, in units of the cell vectors:
Ba1 0.0000 0.0000 0.0000
Hg1 0.5000 0.5000 0.0000
Au1 0.0000 0.5000 0.5000
Au2 0.5000 0.0000 0.5000
Cl1 0.5000 0.5000 0.5000

VASP energy	-2.14	eV per atom
SG	P4/mmm, No. 123
Fermi-level density of states	0.5200	states/eV per atom
crystal system	tetragonal
spin magnetization	0.000	μB/atom
energy relative to the elements, uncorrected	-0.08	eV per formula unit

---

Compound: CuAgF3
Source: the Alexandria database
Functional: GGA-PBE
Structure: optimized geometry

Cell lengths 7.7226, 5.3044, 7.6190 Å; angles 90.00, 119.22, 90.00 degrees
Sites, in units of the cell vectors:
Cu1 0.1422 0.2448 0.0705
Cu2 0.1422 0.2552 0.5705
Cu3 0.8578 0.7448 0.4295
Cu4 0.8578 0.7552 0.9295
Ag1 0.3698 0.7492 0.9354
Ag2 0.3698 0.7508 0.4354
Ag3 0.6302 0.2492 0.5646
Ag4 0.6302 0.2508 0.0646
F1 0.1399 0.7236 0.0690
F2 0.1399 0.7764 0.5690
F3 0.1492 0.2483 0.3240
F4 0.1492 0.2517 0.8240
F5 0.4178 0.1779 0.2063
F6 0.4178 0.3221 0.7063
F7 0.5822 0.6779 0.2937
F8 0.5822 0.8221 0.7937
F9 0.8508 0.7483 0.1760
F10 0.8508 0.7517 0.6760
F11 0.8601 0.2236 0.4310
F12 0.8601 0.2764 0.9310

VASP energy	-3.79	eV per atom
SG	P2_1/c, No. 14
Fermi-level density of states	0.0370	states/eV per atom
crystal system	monoclinic
spin magnetization	0.000	μB/atom
energy relative to the elements, uncorrected	-6.41	eV per formula unit

---

Compound: SmTmPt
Source: the Alexandria database
Functional: GGA-PBE
Structure: optimized geometry

Cell lengths 6.6771, 7.1671, 7.0128 Å; angles 90.00, 96.26, 90.00 degrees
Sites, in units of the cell vectors:
Sm1 0.0734 0.2383 0.0031
Sm2 0.0734 0.2617 0.5031
Sm3 0.9266 0.7383 0.4969
Sm4 0.9266 0.7617 0.9969
Tm1 0.4064 0.6189 0.2080
Tm2 0.4064 0.8811 0.7080
Tm3 0.5936 0.1189 0.2920
Tm4 0.5936 0.3811 0.7920
Pt1 0.2192 0.5515 0.8044
Pt2 0.2192 0.9485 0.3044
Pt3 0.7808 0.0515 0.6956
Pt4 0.7808 0.4485 0.1956

VASP energy	-5.93	eV per atom
SG	P2_1/c, No. 14
Fermi-level density of states	1.0596	states/eV per atom
crystal system	monoclinic
spin magnetization	0.000	μB/atom
ΔH_f (0 K)	-0.86	eV per atom

---

Compound: ReSi2GeAu
Source: the Alexandria database
Functional: GGA-PBE
Structure: optimized geometry

Cell lengths 4.6671, 4.6671, 4.7071 Å; angles 90.00, 90.00, 90.00 degrees
Sites, in units of the cell vectors:
Re1 0.0000 0.0000 0.0000
Si1 0.0000 0.5000 0.5000
Si2 0.5000 0.0000 0.5000
Ge1 0.0000 0.0000 0.5000
Au1 0.5000 0.5000 0.0000

VASP energy	-4.78	eV per atom
SG	P4/mmm, No. 123
Fermi-level density of states	0.5175	states/eV per atom
crystal system	tetragonal
spin magnetization	0.332	μB/atom
energy relative to the elements, uncorrected	7.31	eV per formula unit

---

Compound: Na7HgPb2
Source: the Alexandria database
Functional: GGA-PBE
Structure: optimized geometry

Cell lengths 7.9492, 7.9492, 7.9492 Å; angles 60.00, 60.00, 60.00 degrees
Sites, in units of the cell vectors:
Na1 0.0000 0.0000 0.0000
Na2 0.2516 0.2516 0.7484
Na3 0.2516 0.7484 0.2516
Na4 0.2516 0.7484 0.7484
Na5 0.7484 0.2516 0.2516
Na6 0.7484 0.2516 0.7484
Na7 0.7484 0.7484 0.2516
Hg1 0.5000 0.5000 0.5000
Pb1 0.2500 0.2500 0.2500
Pb2 0.7500 0.7500 0.7500

VASP energy	-1.50	eV per atom
SG	Fm-3m, No. 225
Fermi-level density of states	0.6134	states/eV per atom
crystal system	cubic
spin magnetization	0.000	μB/atom
ΔH_f (0 K)	0.19	eV per atom